# PBE Er3ScGe2C, optimized geometry
data_Er3ScGe2C
_cell_length_a 4.4242
_cell_length_b 4.6046
_cell_length_c 15.0340
_cell_angle_alpha 90.00
_cell_angle_beta 90.00
_cell_angle_gamma 90.00
_space_group_name_H-M_alt 'I m m m'
_space_group_IT_number 71
_space_group_name_Hall '-I 2 2'
loop_
_atom_site_label
_atom_site_type_symbol
_atom_site_fract_x
_atom_site_fract_y
_atom_site_fract_z
Er1 Er 0.0000 0.0000 0.0000
Er2 Er 0.0000 0.5000 0.1659
Sc1 Sc 0.0000 0.0000 0.5000
Ge1 Ge 0.0000 0.5000 0.3633
C1 C 0.0000 0.5000 0.0000
# E_form in eV per formula unit: -5.24

---

# PBE Tm3Ge4Pt2, optimized geometry
data_Tm3Ge4Pt2
_cell_length_a 10.6635
_cell_length_b 4.3227
_cell_length_c 8.2060
_cell_angle_alpha 90.00
_cell_angle_beta 105.03
_cell_angle_gamma 90.00
_space_group_name_H-M_alt 'C 1 2/m 1'
_space_group_IT_number 12
_space_group_name_Hall '-C 2y'
loop_
_atom_site_label
_atom_site_type_symbol
_atom_site_fract_x
_atom_site_fract_y
_atom_site_fract_z
Tm1 Tm 0.0000 0.0000 0.0000
Tm2 Tm 0.1646 0.5000 0.6607
Ge1 Ge 0.0595 0.0000 0.3895
Ge2 Ge 0.2378 0.5000 0.0745
Pt1 Pt 0.1030 0.5000 0.2739
# E_form in eV per formula unit: -8.23

---

# PBE Tl2SiSe, optimized geometry
data_Tl2SiSe
_cell_length_a 11.9393
_cell_length_b 3.5525
_cell_length_c 5.6779
_cell_angle_alpha 90.00
_cell_angle_beta 118.19
_cell_angle_gamma 90.00
_space_group_name_H-M_alt 'C 1 m 1'
_space_group_IT_number 8
_space_group_name_Hall 'C -2y'
loop_
_atom_site_label
_atom_site_type_symbol
_atom_site_fract_x
_atom_site_fract_y
_atom_site_fract_z
Tl1 Tl 0.0000 0.0000 0.0000
Tl2 Tl 0.2115 0.0000 0.7128
Si1 Si 0.2578 0.5000 0.2604
Se1 Se 0.4172 0.0000 0.4169
# Energy relative to the elements, uncorrected in eV/atom: 0.044
# Energy relative to the lowest polymorph listed for this composition in eV per atom: 0.024

---

# PBE RbZrF2, optimized geometry
data_RbZrF2
_cell_length_a 3.6586
_cell_length_b 3.6586
_cell_length_c 22.7212
_cell_angle_alpha 90.00
_cell_angle_beta 90.00
_cell_angle_gamma 120.00
_space_group_name_H-M_alt 'R -3 m'
_space_group_IT_number 166
_space_group_name_Hall '-R 3 2"'
loop_
_atom_site_label
_atom_site_type_symbol
_atom_site_fract_x
_atom_site_fract_y
_atom_site_fract_z
Rb1 Rb 0.0000 0.0000 0.0000
Zr1 Zr 0.0000 0.0000 0.5000
F1 F 0.0000 0.0000 0.4087
# Energy relative to the elements, uncorrected in eV/atom: -2.199
# Energy relative to the lowest polymorph listed for this composition in eV per atom: 0.000

---

Number 1: E_tot -6.2456 eV/atom. Number 2: E_tot -5.7995 eV/atom. Number 3: E_tot -3.3661 eV/atom. Number 4: E_tot -5.5134 eV/atom.